Here is a relaxed ScAlRu4 crystal from Alexandria. Energies are from PBE-GGA.

Calculated values
Calculated volume   15.88 Å³/atom
Total energy   -7.99 eV per atom
Calculated formation energy   -128.0 meV/atom

a = 5.127 Å, b = 5.127 Å, c = 5.127 Å
α = 60.00°, β = 60.00°, γ = 60.00°
Fractional coordinates of all 6 atoms:
Ru (0.375, 0.876, 0.375)
Ru (0.876, 0.375, 0.375)
Ru (0.375, 0.375, 0.876)
Ru (0.375, 0.375, 0.375)
Sc (0.750, 0.750, 0.750)
Al (0.000, 0.000, 0.000)